Below is a relaxed structure of GePd3Pb, with properties calculated at the PBE level.

Volume = 360 Å³ per cell
Polymorph energy (0 for the lowest one) = 0 meV per atom
Uncorrected energy = -25.7 eV/f.u.
Formation enthalpy at 0 K = -1.8 eV per formula unit

Unit cell a=8.5834 b=5.1438 c=10.0215 alpha=90.00 beta=125.53 gamma=90.00
Space group P2_1/c (No. 14)
Asymmetric unit:
Ge (0.2270, 0.2499, 0.1128)
Pd (0.1226, 0.7492, 0.0605)
Pd (0.1252, 0.1430, 0.8127)
Pd (0.5001, 0.0025, 0.8431)
Pb (0.2972, 0.6357, 0.8971)